1.
Entry from Alexandria via LeMat-Bulk: Mg2TlCl at its PBEsol-relaxed geometry (meta-GGA SCAN).

abc: 11.2174 3.2957 5.0749
angles: 90.00 90.83 90.00
Space group Cm (No. 8)
Symmetry-distinct sites (fractional):
Mg (0.0000, 0.0000, 0.0000) (multiplicity 2)
Mg (0.2401, 0.5000, 0.3985) (multiplicity 2)
Tl (0.4729, 0.0000, 0.5068) (multiplicity 2)
Cl (0.2227, 0.0000, 0.0120) (multiplicity 2)

energy = -23.15 eV per atom
formation energy from raw total energies = -0.579 eV per atom
relative energy among the computed polymorphs = 35.3 meV/atom
V = 23.4 A^3/atom

2.
Entry from Alexandria via LeMat-Bulk: Nb2Br5 at its PBEsol-relaxed geometry (meta-GGA SCAN).

abc: 10.4240 13.7926 5.9462
angles: 90.00 90.00 90.00
Space group Cmcm (No. 63)
Symmetry-distinct sites (fractional):
Nb (0.1355, 0.0000, 0.0000) (multiplicity 8)
Br (0.0000, 0.1239, 0.2500) (multiplicity 4)
Br (0.1782, 0.1538, 0.7500) (multiplicity 8)
Br (0.1793, 0.4252, 0.7500) (multiplicity 8)

energy = -24.27 eV per atom
formation energy from raw total energies = -0.901 eV per atom
V = 30.5 A^3/atom

3.
Entry from Alexandria via LeMat-Bulk: ZrFe2 at its PBEsol-relaxed geometry (meta-GGA SCAN).

abc: 6.9129 6.9129 6.9129
angles: 90.00 90.00 90.00
Space group Fd-3m (No. 227, origin choice 2)
Symmetry-distinct sites (fractional):
Zr (0.1250, 0.1250, 0.1250) (multiplicity 8)
Fe (0.0000, 0.0000, 0.5000) (multiplicity 16)

energy = -22.56 eV per atom
DFT formation energy = -0.24 eV per atom
V = 13.8 A^3/atom

- Number 1 is which compound?
  Mg2TlCl